Entry A
The following is a DFT calculation (GGA-PBE) of LaPr3Nd6 after structural relaxation.

abc: 10.180 10.180 7.122
angles: 44.38 44.38 60.00
Element x y z (fractional)
Pr: 0.400 0.400 0.801
Nd: 0.575 0.226 0.300
Nd: 0.400 0.724 0.800
Nd: 0.076 0.400 0.800
Pr: 0.650 0.650 0.049
Nd: 0.724 0.076 0.800
Nd: 0.900 0.575 0.300
Nd: 0.226 0.900 0.300
La: 0.900 0.900 0.301
Pr: 0.149 0.149 0.552

**ρ**: 6.6 g/cm³



Entry B
The following is a DFT calculation (GGA-PBE) of LaPr3Nd6 after structural relaxation.

abc: 6.497 11.288 11.288
angles: 120.34 90.00 90.00
Element x y z (fractional)
Pr: 0.963 0.058 0.293
Nd: 0.879 0.948 0.532
Nd: 0.054 0.372 0.290
Nd: 0.141 0.718 0.282
Nd: 0.379 0.052 0.468
Pr: 0.091 0.383 0.617
Nd: 0.554 0.628 0.710
Nd: 0.054 0.710 0.628
Nd: 0.554 0.290 0.372
Pr: 0.463 0.942 0.707
Nd: 0.879 0.468 0.052
Nd: 0.366 0.964 0.036
La: 0.099 0.188 0.812
Pr: 0.463 0.293 0.058
Nd: 0.379 0.532 0.948
Nd: 0.866 0.036 0.964
La: 0.599 0.812 0.188
Pr: 0.591 0.617 0.383
Pr: 0.963 0.707 0.942
Nd: 0.641 0.282 0.718

**ρ**: 6.6 g/cm³



Q: Which of them is the least stable? A: entry A.



Entry A
The following is a DFT calculation (GGA-PBE) of La2PrNd7 after structural relaxation.

abc: 6.413 9.791 6.401
angles: 109.06 99.52 102.71
Element x y z (fractional)
Pr: 0.000 0.000 0.000
Nd: 0.599 0.199 0.200
Nd: 0.500 0.500 0.000
Nd: 0.300 0.100 0.601
Nd: 0.101 0.701 0.200
Nd: 0.700 0.900 0.399
La: 0.800 0.600 0.600
Nd: 0.401 0.801 0.800
La: 0.200 0.400 0.400
Nd: 0.899 0.299 0.800

**ρ**: 6.6 g/cm³



Entry B
The following is a DFT calculation (GGA-PBE) of La2PrNd7 after structural relaxation.

abc: 3.533 15.281 15.281
angles: 154.07 90.00 90.00
Element x y z (fractional)
Nd: 0.500 0.500 0.500
Nd: 0.500 0.147 0.346
La: 0.500 0.296 0.704
Pr: 0.000 0.000 0.000
La: 0.500 0.704 0.296
Nd: 0.500 0.346 0.147
Nd: 0.500 0.654 0.853
Nd: 0.500 0.853 0.654
Nd: 0.000 0.811 0.189
Nd: 0.000 0.189 0.811

**ρ**: 6.6 g/cm³



Q: Which of them is the least stable? A: entry B.



Entry A
The following is a DFT calculation (GGA-PBE) of La2Pr2Nd after structural relaxation.

abc: 6.475 6.475 9.823
angles: 111.41 99.76 100.90
Element x y z (fractional)
La: 0.219 0.807 0.353
Pr: 0.773 0.621 0.521
Nd: 0.722 0.972 0.250
La: 0.546 0.633 0.853
La: 0.454 0.367 0.147
Nd: 0.278 0.028 0.750
La: 0.781 0.193 0.647
Pr: 0.900 0.248 0.021
Pr: 0.100 0.752 0.979
Pr: 0.227 0.379 0.479

**ρ**: 6.4 g/cm³



Entry B
The following is a DFT calculation (GGA-PBE) of La2Pr2Nd after structural relaxation.

abc: 6.531 7.056 8.968
angles: 113.17 90.00 90.00
Element x y z (fractional)
La: 0.750 0.934 0.337
La: 0.750 0.403 0.337
La: 0.250 0.597 0.663
Nd: 0.000 0.000 0.000
La: 0.250 0.066 0.663
Pr: 0.750 0.407 0.813
Pr: 0.250 0.171 0.343
Pr: 0.250 0.593 0.187
Pr: 0.750 0.829 0.657
Nd: 0.500 0.000 0.000

**ρ**: 6.2 g/cm³



Q: Which of them is the least stable? A: entry B.